VASP calculation (GGA-PBE) on a geometry-optimized RbOs3Se structure.

Computed properties:
Offset from the most stable computed form, eV per formula unit: 0.00
ΔE_f (raw), eV per atom: 1.965
Uncorrected energy, eV/atom: -5.663
Magnetization, μB/atom: 0.1846

Cell lengths 4.713, 4.713, 4.713 Å; angles 90.00, 90.00, 90.00 degrees
Site moments in Bohr magnetons follow the coordinates.
Element x y z (fractional)
Os (0.000, 0.500, 0.000)  0.36
Os (0.000, 0.000, 0.500)  0.20
Os (0.500, 0.000, 0.000)  0.31
Se (0.000, 0.000, 0.000)  -0.01
Rb (0.500, 0.500, 0.500)  0.00

VASP calculation (GGA-PBE) on a geometry-optimized RbOs2Se structure.

Computed properties:
ΔE_f (raw), eV per atom: 0.940
Uncorrected energy, eV/atom: -5.788
Magnetization, μB/atom: 0.0126

Cell lengths 4.936, 4.936, 9.305 Å; angles 74.62, 74.62, 90.00 degrees
Element x y z (fractional)
Os (0.356, 0.125, 0.250)
Os (0.394, 0.625, 0.250)
Os (0.375, 0.644, 0.750)
Os (0.875, 0.606, 0.750)
Se (0.500, 0.500, 0.000)
Se (0.250, 0.750, 0.500)
Rb (0.000, 0.000, 0.000)
Rb (0.750, 0.250, 0.500)

VASP calculation (GGA-PBE) on a geometry-optimized RbOs3Se structure.

Computed properties:
Offset from the most stable computed form, eV per formula unit: 11.21
ΔE_f (raw), eV per atom: 4.207
Uncorrected energy, eV/atom: -3.421
Magnetization, μB/atom: 1.1403

Cell lengths 4.873, 4.873, 4.873 Å; angles 90.00, 90.00, 90.00 degrees
Site moments in Bohr magnetons follow the coordinates.
Element x y z (fractional)
Os (0.000, 0.500, 0.000)  1.85
Os (0.000, 0.000, 0.500)  1.55
Os (0.500, 0.000, 0.000)  1.76
Se (0.500, 0.500, 0.500)  0.09
Rb (0.000, 0.000, 0.000)  0.03

VASP calculation (GGA-PBE) on a geometry-optimized Rb3OsSe structure.

Computed properties:
Offset from the most stable computed form, eV per formula unit: 0.00
ΔE_f (raw), eV per atom: 0.704
Uncorrected energy, eV/atom: -2.819
Magnetization, μB/atom: 0.6000

Cell lengths 6.546, 6.546, 6.546 Å; angles 90.00, 90.00, 90.00 degrees
Site moments in Bohr magnetons follow the coordinates.
Element x y z (fractional)
Os (0.500, 0.500, 0.500)  2.58
Se (0.000, 0.000, 0.000)  0.01
Rb (0.000, 0.500, 0.000)  0.00
Rb (0.000, 0.000, 0.500)  0.00
Rb (0.500, 0.000, 0.000)  0.00

VASP calculation (GGA-PBE) on a geometry-optimized RbOsSe2 structure.

Computed properties:
ΔE_f (raw), eV per atom: -0.278
Uncorrected energy, eV/atom: -5.069
Magnetization, μB/atom: 0.0000

Cell lengths 7.684, 7.684, 6.718 Å; angles 55.12, 55.12, 90.00 degrees
Element x y z (fractional)
Os (0.000, 0.000, 0.000)
Os (0.750, 0.250, 0.500)
Se (0.743, 0.125, 0.250)
Se (0.007, 0.625, 0.250)
Se (0.375, 0.257, 0.750)
Se (0.875, 0.993, 0.750)
Rb (0.500, 0.500, 0.000)
Rb (0.250, 0.750, 0.500)

VASP calculation (GGA-PBE) on a geometry-optimized RbOsWSe2 structure.

Computed properties:
ΔE_f (raw), eV per atom: 0.909
Uncorrected energy, eV/atom: -5.515
Magnetization, μB/atom: 0.4984

Cell lengths 5.177, 4.934, 5.177 Å; angles 90.00, 90.00, 90.00 degrees
Site moments in Bohr magnetons follow the coordinates.
Element x y z (fractional)
Se (0.000, 0.000, 0.500)  -0.03
Se (0.500, 0.000, 0.000)  -0.12
Os (0.000, 0.000, 0.000)  -0.67
Rb (0.500, 0.500, 0.500)  0.02
W (0.000, 0.500, 0.000)  2.50

VASP calculation (GGA-PBE) on a geometry-optimized RbZr2OsSe structure.

Computed properties:
ΔE_f (raw), eV per atom: 0.574
Uncorrected energy, eV/atom: -5.981
Magnetization, μB/atom: 0.0000

Cell lengths 5.000, 6.283, 5.000 Å; angles 90.00, 90.00, 90.00 degrees
Element x y z (fractional)
Se (0.500, 0.500, 0.500)
Os (0.000, 0.000, 0.000)
Rb (0.000, 0.500, 0.000)
Zr (0.000, 0.000, 0.500)
Zr (0.500, 0.000, 0.000)

VASP calculation (GGA-PBE) on a geometry-optimized RbSi2Os structure.

Computed properties:
Offset from the most stable computed form, eV per formula unit: 0.00
ΔE_f (raw), eV per atom: 0.012
Uncorrected energy, eV/atom: -5.748
Magnetization, μB/atom: 0.0000

Cell lengths 6.301, 6.301, 7.799 Å; angles 66.17, 66.17, 90.00 degrees
Element x y z (fractional)
Si (0.875, 0.125, 0.250)
Si (0.875, 0.625, 0.250)
Si (0.375, 0.125, 0.750)
Si (0.875, 0.125, 0.750)
Os (0.000, 0.000, 0.000)
Os (0.750, 0.250, 0.500)
Rb (0.500, 0.500, 0.000)
Rb (0.250, 0.750, 0.500)

VASP calculation (GGA-PBE) on a geometry-optimized RbSiOs3 structure.

Computed properties:
Offset from the most stable computed form, eV per formula unit: 13.08
ΔE_f (raw), eV per atom: 4.236
Uncorrected energy, eV/atom: -3.780
Magnetization, μB/atom: 0.3346

Cell lengths 4.763, 4.763, 4.763 Å; angles 90.00, 90.00, 90.00 degrees
Site moments in Bohr magnetons follow the coordinates.
Element x y z (fractional)
Si (0.500, 0.500, 0.500)  -0.01
Os (0.000, 0.500, 0.000)  0.57
Os (0.000, 0.000, 0.500)  0.46
Os (0.500, 0.000, 0.000)  0.53
Rb (0.000, 0.000, 0.000)  0.05

VASP calculation (GGA-PBE) on a geometry-optimized RbSiOs3 structure.

Computed properties:
Offset from the most stable computed form, eV per formula unit: 0.00
ΔE_f (raw), eV per atom: 1.619
Uncorrected energy, eV/atom: -6.397
Magnetization, μB/atom: 0.4479

Cell lengths 4.610, 4.610, 4.610 Å; angles 90.00, 90.00, 90.00 degrees
Site moments in Bohr magnetons follow the coordinates.
Element x y z (fractional)
Si (0.000, 0.000, 0.000)  -0.02
Os (0.000, 0.500, 0.000)  0.80
Os (0.000, 0.000, 0.500)  0.77
Os (0.500, 0.000, 0.000)  0.50
Rb (0.500, 0.500, 0.500)  0.02

VASP calculation (GGA-PBE) on a geometry-optimized Rb3SiOs structure.

Computed properties:
ΔE_f (raw), eV per atom: 1.531
Uncorrected energy, eV/atom: -2.380
Magnetization, μB/atom: 1.0000

Cell lengths 6.405, 6.405, 6.405 Å; angles 90.00, 90.00, 90.00 degrees
Site moments in Bohr magnetons follow the coordinates.
Element x y z (fractional)
Si (0.500, 0.500, 0.500)  0.62
Os (0.000, 0.000, 0.000)  1.89
Rb (0.000, 0.500, 0.000)  0.03
Rb (0.000, 0.000, 0.500)  0.02
Rb (0.500, 0.000, 0.000)  0.03

VASP calculation (GGA-PBE) on a geometry-optimized RbSi2Os structure.

Computed properties:
Offset from the most stable computed form, eV per formula unit: 4.31
ΔE_f (raw), eV per atom: 1.091
Uncorrected energy, eV/atom: -4.670
Magnetization, μB/atom: 0.0000

Cell lengths 4.658, 4.658, 4.658 Å; angles 60.00, 60.00, 60.00 degrees
Element x y z (fractional)
Si (0.250, 0.250, 0.250)
Si (0.750, 0.750, 0.750)
Os (0.500, 0.500, 0.500)
Rb (0.000, 0.000, 0.000)

VASP calculation (GGA-PBE) on a geometry-optimized Rb2SiOs structure.

Computed properties:
ΔE_f (raw), eV per atom: 0.707
Uncorrected energy, eV/atom: -3.940
Magnetization, μB/atom: 0.1803

Cell lengths 13.138, 13.138, 9.561 Å; angles 46.61, 46.61, 90.00 degrees
Site moments in Bohr magnetons follow the coordinates.
Element x y z (fractional)
Si (0.500, 0.500, 0.000)  -0.02
Si (0.250, 0.750, 0.500)  -0.02
Os (0.000, 0.000, 0.000)  0.68
Os (0.750, 0.250, 0.500)  0.68
Rb (0.851, 0.125, 0.250)  0.01
Rb (0.899, 0.625, 0.250)  0.01
Rb (0.375, 0.149, 0.750)  0.01
Rb (0.875, 0.101, 0.750)  0.00

VASP calculation (GGA-PBE) on a geometry-optimized RbTaSiOs2 structure.

Computed properties:
ΔE_f (raw), eV per atom: 1.520
Uncorrected energy, eV/atom: -6.621
Magnetization, μB/atom: 0.0498

Cell lengths 4.606, 4.841, 4.606 Å; angles 90.00, 90.00, 90.00 degrees
Site moments in Bohr magnetons follow the coordinates.
Element x y z (fractional)
Si (0.000, 0.000, 0.000)  0.00
Os (0.000, 0.000, 0.500)  0.48
Os (0.500, 0.000, 0.000)  0.38
Rb (0.500, 0.500, 0.500)  -0.02
Ta (0.000, 0.500, 0.000)  -0.41

VASP calculation (GGA-PBE) on a geometry-optimized RbTiSiOs2 structure.

Computed properties:
ΔE_f (raw), eV per atom: 1.541
Uncorrected energy, eV/atom: -5.808
Magnetization, μB/atom: 0.0133

Cell lengths 4.517, 5.190, 4.517 Å; angles 90.00, 90.00, 90.00 degrees
Site moments in Bohr magnetons follow the coordinates.
Element x y z (fractional)
Si (0.000, 0.000, 0.000)  0.00
Os (0.000, 0.000, 0.500)  0.18
Os (0.500, 0.000, 0.000)  0.18
Rb (0.000, 0.500, 0.000)  0.00
Ti (0.500, 0.500, 0.500)  -0.23

VASP calculation (GGA-PBE) on a geometry-optimized Rb2ZrSiOs structure.

Computed properties:
ΔE_f (raw), eV per atom: 1.581
Uncorrected energy, eV/atom: -3.847
Magnetization, μB/atom: 0.0000

Cell lengths 6.240, 4.481, 6.240 Å; angles 90.00, 90.00, 90.00 degrees
Element x y z (fractional)
Si (0.000, 0.000, 0.000)
Os (0.000, 0.500, 0.000)
Rb (0.000, 0.000, 0.500)
Rb (0.500, 0.000, 0.000)
Zr (0.500, 0.500, 0.500)

VASP calculation (GGA-PBE) on a geometry-optimized Rb3SnOs structure.

Computed properties:
Calculated formation energy, meV/atom: 1265.4
Uncorrected energy, eV/atom: -2.362
Magnetization, μB/atom: 1.0000

Cell lengths 6.454, 6.454, 6.454 Å; angles 90.00, 90.00, 90.00 degrees
Site moments in Bohr magnetons follow the coordinates.
Element x y z (fractional)
Os (0.000, 0.000, 0.000)  1.98
Sn (0.500, 0.500, 0.500)  0.80
Rb (0.000, 0.500, 0.000)  0.03
Rb (0.000, 0.000, 0.500)  0.02
Rb (0.500, 0.000, 0.000)  0.04

VASP calculation (GGA-PBE) on a geometry-optimized RbSn2Os structure.

Computed properties:
Offset from the most stable computed form, eV per formula unit: 0.00
Calculated formation energy, meV/atom: 278.9
Uncorrected energy, eV/atom: -4.772
Magnetization, μB/atom: 0.0000

Cell lengths 6.916, 6.916, 8.721 Å; angles 66.64, 66.64, 90.00 degrees
Element x y z (fractional)
Os (0.000, 0.000, 0.000)
Os (0.750, 0.250, 0.500)
Sn (0.875, 0.125, 0.250)
Sn (0.875, 0.625, 0.250)
Sn (0.375, 0.125, 0.750)
Sn (0.875, 0.125, 0.750)
Rb (0.500, 0.500, 0.000)
Rb (0.250, 0.750, 0.500)

VASP calculation (GGA-PBE) on a geometry-optimized RbSnOs2 structure.

Computed properties:
Calculated formation energy, meV/atom: 1170.4
Uncorrected energy, eV/atom: -5.687
Magnetization, μB/atom: 0.0000

Cell lengths 4.905, 4.905, 10.041 Å; angles 75.86, 75.86, 90.00 degrees
Element x y z (fractional)
Os (0.911, 0.125, 0.250)
Os (0.839, 0.625, 0.250)
Os (0.375, 0.089, 0.750)
Os (0.875, 0.161, 0.750)
Sn (0.000, 0.000, 0.000)
Sn (0.750, 0.250, 0.500)
Rb (0.500, 0.500, 0.000)
Rb (0.250, 0.750, 0.500)

VASP calculation (GGA-PBE) on a geometry-optimized RbSn2Os structure.

Computed properties:
Offset from the most stable computed form, eV per formula unit: 2.01
Calculated formation energy, meV/atom: 781.3
Uncorrected energy, eV/atom: -4.269
Magnetization, μB/atom: 0.0000

Cell lengths 5.054, 5.054, 5.054 Å; angles 60.00, 60.00, 60.00 degrees
Element x y z (fractional)
Os (0.500, 0.500, 0.500)
Sn (0.250, 0.250, 0.250)
Sn (0.750, 0.750, 0.750)
Rb (0.000, 0.000, 0.000)

VASP calculation (GGA-PBE) on a geometry-optimized Rb2SrOs structure.

Computed properties:
Offset from the most stable computed form, eV per formula unit: 0.39
Calculated formation energy, meV/atom: 1433.3
Uncorrected energy, eV/atom: -2.278
Magnetization, μB/atom: 0.4716

Cell lengths 5.980, 5.980, 5.980 Å; angles 60.00, 60.00, 60.00 degrees
Site moments in Bohr magnetons follow the coordinates.
Element x y z (fractional)
Sr (0.000, 0.000, 0.000)  -0.05
Os (0.500, 0.500, 0.500)  1.82
Rb (0.250, 0.250, 0.250)  0.00
Rb (0.750, 0.750, 0.750)  0.00

VASP calculation (GGA-PBE) on a geometry-optimized Rb3SrOs structure.

Computed properties:
Offset from the most stable computed form, eV per formula unit: 0.00
Calculated formation energy, meV/atom: 1203.4
Uncorrected energy, eV/atom: -1.959
Magnetization, μB/atom: 0.2007

Cell lengths 6.654, 6.654, 6.654 Å; angles 90.00, 90.00, 90.00 degrees
Site moments in Bohr magnetons follow the coordinates.
Element x y z (fractional)
Sr (0.500, 0.500, 0.500)  -0.06
Os (0.000, 0.000, 0.000)  1.95
Rb (0.000, 0.500, 0.000)  -0.01
Rb (0.000, 0.000, 0.500)  -0.02
Rb (0.500, 0.000, 0.000)  -0.01

VASP calculation (GGA-PBE) on a geometry-optimized Rb2SrOs structure.

Computed properties:
Offset from the most stable computed form, eV per formula unit: 0.00
Calculated formation energy, meV/atom: 1335.6
Uncorrected energy, eV/atom: -2.376
Magnetization, μB/atom: 0.2359

Cell lengths 4.764, 4.764, 13.515 Å; angles 79.85, 79.85, 90.00 degrees
Site moments in Bohr magnetons follow the coordinates.
Element x y z (fractional)
Sr (0.500, 0.500, 0.000)  -0.05
Sr (0.250, 0.750, 0.500)  -0.05
Os (0.000, 0.000, 0.000)  1.29
Os (0.750, 0.250, 0.500)  1.29
Rb (0.642, 0.125, 0.250)  -0.03
Rb (0.108, 0.625, 0.250)  -0.03
Rb (0.375, 0.358, 0.750)  -0.03
Rb (0.875, 0.892, 0.750)  -0.03

VASP calculation (GGA-PBE) on a geometry-optimized Rb3SrOs structure.

Computed properties:
Offset from the most stable computed form, eV per formula unit: 3.23
Calculated formation energy, meV/atom: 1849.1
Uncorrected energy, eV/atom: -1.314
Magnetization, μB/atom: 0.7591

Cell lengths 8.094, 8.094, 8.094 Å; angles 90.00, 90.00, 90.00 degrees
Site moments in Bohr magnetons follow the coordinates.
Element x y z (fractional)
Sr (0.000, 0.000, 0.000)  0.02
Os (0.500, 0.500, 0.500)  2.90
Rb (0.000, 0.500, 0.000)  0.01
Rb (0.000, 0.000, 0.500)  0.00
Rb (0.500, 0.000, 0.000)  0.01

VASP calculation (GGA-PBE) on a geometry-optimized RbSrOs2 structure.

Computed properties:
Offset from the most stable computed form, eV per formula unit: 0.00
Calculated formation energy, meV/atom: 1414.3
Uncorrected energy, eV/atom: -4.863
Magnetization, μB/atom: 0.0000

Cell lengths 4.477, 4.477, 11.401 Å; angles 78.68, 78.68, 90.00 degrees
Element x y z (fractional)
Sr (0.000, 0.000, 0.000)
Sr (0.750, 0.250, 0.500)
Os (0.757, 0.125, 0.250)
Os (0.993, 0.625, 0.250)
Os (0.375, 0.243, 0.750)
Os (0.875, 0.007, 0.750)
Rb (0.500, 0.500, 0.000)
Rb (0.250, 0.750, 0.500)

VASP calculation (GGA-PBE) on a geometry-optimized RbSrOs2 structure.

Computed properties:
Offset from the most stable computed form, eV per formula unit: 2.93
Calculated formation energy, meV/atom: 2147.1
Uncorrected energy, eV/atom: -4.130
Magnetization, μB/atom: 0.8429

Cell lengths 5.227, 5.227, 5.227 Å; angles 60.00, 60.00, 60.00 degrees
Site moments in Bohr magnetons follow the coordinates.
Element x y z (fractional)
Sr (0.500, 0.500, 0.500)  -0.01
Os (0.250, 0.250, 0.250)  1.51
Os (0.750, 0.750, 0.750)  1.51
Rb (0.000, 0.000, 0.000)  0.03

VASP calculation (GGA-PBE) on a geometry-optimized RbSr2TlOs structure.

Computed properties:
Calculated formation energy, meV/atom: 1935.4
Uncorrected energy, eV/atom: -1.650
Magnetization, μB/atom: 0.4414

Cell lengths 6.358, 5.729, 6.358 Å; angles 90.00, 90.00, 90.00 degrees
Site moments in Bohr magnetons follow the coordinates.
Element x y z (fractional)
Sr (0.000, 0.000, 0.500)  -0.05
Sr (0.500, 0.000, 0.000)  -0.06
Tl (0.000, 0.500, 0.000)  -0.01
Os (0.500, 0.500, 0.500)  2.55
Rb (0.000, 0.000, 0.000)  -0.03

VASP calculation (GGA-PBE) on a geometry-optimized Rb2Ta2Os structure.

Computed properties:
Offset from the most stable computed form, eV per formula unit: 0.00
Calculated formation energy, meV/atom: 1850.2
Uncorrected energy, eV/atom: -5.524
Magnetization, μB/atom: 0.4652

Cell lengths 3.627, 3.627, 12.598 Å; angles 81.72, 81.72, 90.00 degrees
Site moments in Bohr magnetons follow the coordinates.
Element x y z (fractional)
Os (0.000, 0.000, 0.000)  2.00
Rb (0.399, 0.399, 0.201)  0.00
Rb (0.601, 0.601, 0.799)  0.00
Ta (0.750, 0.250, 0.500)  0.03
Ta (0.250, 0.750, 0.500)  0.03